Density functional theory data (GGA-PBE) for an optimized crystal structure of BaHgICl2.

Structure (CIF):
```
data_BaHgICl2
_chemical_formula_sum 'Ba1 Hg1 I1 Cl2'
_cell_length_a 5.631
_cell_length_b 5.841
_cell_length_c 5.631
_cell_angle_alpha 90.00
_cell_angle_beta 90.00
_cell_angle_gamma 90.00
_symmetry_space_group_name_H-M 'P 1'
_symmetry_Int_Tables_number 1
loop_
_symmetry_equiv_pos_as_xyz
'x,y,z'
loop_
_atom_site_label
_atom_site_type_symbol
_atom_site_fract_x
_atom_site_fract_y
_atom_site_fract_z
Ba1 Ba 0.500 0.500 0.500
Cl1 Cl 0.000 0.000 0.500
Cl2 Cl 0.500 0.000 0.000
I1 I 0.000 0.500 0.000
Hg1 Hg 0.000 0.000 0.000
```

Calculated values
- energy relative to the elements, uncorrected (meV/atom) = -1087
- VASP energy (eV/cell) = -12.90